A geometry-optimized SmMgSn structure, computed with PBE.

Values from the calculation:
* density of states at the Fermi level: 0.652 states/eV/atom
* magnetic moment: 0.000 μB per atom
* calculated formation energy: -0.3147 eV per atom
* space-group type: I4mm
* electronic total energy: -3.75 eV/atom

Structure (POSCAR):
```
SmMgSn
1.0
-0.896 3.149 1.419
-3.195 -1.312 0.895
4.349 -2.755 4.374
Mg Sn Sm
1 1 1
direct
0.935 0.935 0.870
0.295 0.295 0.591
0.619 0.619 0.239
```